Density functional theory data (PBE-GGA) for an optimized crystal structure of Ba2NaTcO6.

The structure in extended XYZ format:
```
20
Lattice="2.954 1.705 9.984 -2.954 1.705 9.984 0.000 -3.411 9.984" Properties=species:S:1:pos:R:3 pbc="T T T"
Ba 0.000 0.000 3.868
Ba 0.000 0.000 8.561
Ba 0.000 0.000 21.389
Ba 0.000 0.000 26.082
Na 0.000 0.000 12.174
Na 0.000 0.000 17.777
Tc 0.000 0.000 0.000
Tc 0.000 0.000 14.975
O -1.366 -0.789 13.883
O 0.000 -1.869 11.081
O -1.618 0.934 11.081
O -1.618 -0.934 18.869
O 0.000 -1.577 16.068
O -1.366 0.789 16.068
O 1.366 -0.789 13.883
O 0.000 1.577 13.883
O 1.618 0.934 11.081
O 1.618 -0.934 18.869
O 0.000 1.869 18.869
O 1.366 0.789 16.068
```

The calculation puts the calculated total energy at -6.557 eV/atom. The value obtained for the raw formation energy is -2.0290 eV/atom. Its calculated volume is 15.09 Å³ per atom.